The following is a PBE calculation of NaSr2ScSi after structural relaxation, from the Alexandria database.

```
5
Lattice="5.8570 0.0000 0.0000 0.0000 5.8570 0.0000 0.0000 0.0000 5.4220" Properties=species:S:1:pos:R:3 pbc="T T T"
Na 0.0000 0.0000 0.0000
Sr 0.0000 2.9285 0.0000
Sr 2.9285 0.0000 0.0000
Sc 0.0000 0.0000 2.7110
Si 2.9285 2.9285 2.7110
```

Its crystal system is tetragonal. The density of states at the Fermi level comes out at 0.943 states/eV/atom. The value obtained for the calculated total energy is -2.376 eV per atom. As for the uncorrected formation energy: 0.91 eV/atom.